# Sm3ErTe2

A relaxed structure of Sm3ErTe2 (PBE, Alexandria).

```
12
Lattice="4.040 0.000 0.000 -2.020 13.145 -1.067 0.000 -7.154 7.652" Properties=species:S:1:pos:R:3 pbc="T T T"
Sm 2.020 0.880 2.527
Er 2.020 2.455 5.756
Sm 0.000 5.111 4.058
Te 0.000 11.393 -0.496
Te 2.020 5.731 1.581
Sm 0.000 -2.168 2.913
Sm 0.000 8.041 0.592
Er 0.000 3.536 0.829
Sm 2.020 8.159 3.672
Te 0.000 0.260 5.004
Te 2.020 -5.402 7.081
Sm 2.020 -2.050 5.993
```

Total energy: -59.38 eV per cell
Space group: C2/m (12)